## LuPaPdAu (PBE-GGA)

Data for a relaxed LuPaPdAu crystal.

Cell: 5.0019 5.0019 5.0019 Å, 60.00 60.00 60.00°
With the nearest neighbours (Å) after each atom.
Sites, in units of the cell vectors:
Pa: 0.7500 0.7500 0.7500  4 Pd 3.06, 4 Au 3.06
Au: 0.0000 0.0000 0.0000  4 Pa 3.06, 4 Lu 3.06
Pd: 0.5000 0.5000 0.5000  4 Pa 3.06, 4 Lu 3.06
Lu: 0.2500 0.2500 0.2500  4 Pd 3.06, 4 Au 3.06

Calculated values
Its space group is No. 216. The calculation puts the density at 13.31 Mg/m³. The calculation puts the formation energy at -0.520 eV/atom. As for the total energy: -24.6 eV per cell.

***

## MnCrHRu2 (PBE-GGA)

Data for a relaxed MnCrHRu2 crystal.

Cell: 3.8503 3.8503 3.7137 Å, 90.00 90.00 90.00°
With the nearest neighbours (Å) after each atom.
Sites, in units of the cell vectors:
Ru: 0.5000 0.0000 0.0000  2 H 1.93
Ru: 0.0000 0.5000 0.0000  2 H 1.93
Mn: 0.0000 0.0000 0.5000  2 H 1.86
Cr: 0.5000 0.5000 0.5000  8 Ru 2.67, 4 Mn 2.72
H: 0.0000 0.0000 0.0000  2 Mn 1.86, 4 Ru 1.93

Calculated values
Its space group is No. 123. The calculation puts the density at 9.35 Mg/m³. As for the total energy: -40.6 eV per cell.

***

## Ho6AsP5 (PBE-GGA)

Data for a relaxed Ho6AsP5 crystal.

Cell: 6.9373 6.9415 6.9390 Å, 59.99 80.40 70.52°
With the nearest neighbours (Å) after each atom.
Sites, in units of the cell vectors:
Ho: 0.7477 0.4220 0.6622  5 P 2.81-2.84, 1 As 2.87
Ho: 0.2522 0.2537 0.0000  5 P 2.80-2.83, 1 As 2.87
Ho: 0.7477 0.0841 0.3378  5 P 2.81-2.84, 1 As 2.87
Ho: 0.7478 0.7463 0.0000  5 P 2.80-2.83, 1 As 2.87
Ho: 0.2523 0.5780 0.3378  5 P 2.81-2.84, 1 As 2.87
Ho: 0.2523 0.9159 0.6622  5 P 2.81-2.84, 1 As 2.87
P: 0.5000 0.5000 0.0000  6 Ho 2.80-2.84
P: 0.0000 0.6667 0.6665  6 Ho 2.83
P: 0.0000 0.3333 0.3335  6 Ho 2.83
P: 0.5000 0.8342 0.3315  6 Ho 2.81-2.84
P: 0.5000 0.1658 0.6685  6 Ho 2.81-2.84
As: 0.0000 0.0000 0.0000  6 Ho 2.87

Calculated values
Its space group is No. 12. The calculation puts the density at 7.42 Mg/m³. The calculation puts the formation energy at -1.598 eV/atom. As for the total energy: -78.3 eV per cell.

***

## OsSN2 (PBE-GGA)

Data for a relaxed OsSN2 crystal.

Cell: 6.2896 6.2896 6.2896 Å, 25.86 25.86 25.86°
With the nearest neighbours (Å) after each atom.
Sites, in units of the cell vectors:
N: 0.1079 0.1079 0.1079  3 S 1.95, 1 Os 1.97
N: 0.8921 0.8921 0.8921  3 S 1.95, 1 Os 1.97
S: 0.5000 0.5000 0.5000  6 N 1.95
Os: 0.0000 0.0000 0.0000  2 N 1.97

Calculated values
For the raw formation energy, the calculation gives 1.138 eV/atom. Its space group is No. 166. The calculation puts the density at 9.97 Mg/m³. As for the total energy: -27.5 eV per cell.